Entry from Alexandria: LiReHg after structural relaxation (GGA-PBE).

Calculated values
M_tot: 0.000 Bohr magnetons per cell
polymorph energy (0 for the lowest one): 0.015 eV/atom
ΔE_f: 451 meV/atom
symmetry: No. 42

Cell: 7.6075 7.4217 2.7300 Å, 83.40 75.72 20.88°
Last column: nearest neighbours and their distance in Å.
Sites, in units of the cell vectors:
1 Li 0.0000 0.0000 0.0000  2 Re 2.69, 4 Li 2.73, 2 Hg 2.86
2 Re 0.6524 0.6524 0.3476  2 Li 2.69, 4 Re 2.73
3 Hg 0.3336 0.3336 0.6664  6 Hg 2.73-3.05, 2 Li 2.86, 2 Re 3.04